## Er6MgGe2S14 (PBE-GGA)

Data for crystalline Er6MgGe2S14 at its relaxed geometry.

magnetization	0.0	Bohr magnetons per cell
volume	482.9	Å³/cell
ΔE_f (raw)	-1552	meV/atom
VASP energy	-5.73	eV per atom

a = 9.7018 Å, b = 9.7018 Å, c = 5.9247 Å
α = 90.00°, β = 90.00°, γ = 120.00°
Fractional positions:
S 0.5859 0.7699 0.2042
Er 0.4760 0.4468 0.2606
Er 0.1183 0.3087 0.7689
S 0.8130 0.2407 0.9992
Ge 0.0000 0.0000 0.3458
S 0.9055 0.7608 0.5080
S 0.0000 0.0000 0.9703
S 0.2301 0.8161 0.2042
Mg 0.3333 0.6667 0.4520
S 0.8553 0.0945 0.5080
S 0.7593 0.5723 0.9992
Er 0.5532 0.0292 0.2606
S 0.4383 0.5196 0.6874
Er 0.1904 0.8817 0.7689
S 0.4804 0.9187 0.6874
S 0.1839 0.4141 0.2042
S 0.4277 0.1870 0.9992
S 0.6667 0.3333 0.4618
Ge 0.6667 0.3333 0.8360
S 0.0813 0.5617 0.6874
S 0.2392 0.1447 0.5080
Er 0.9708 0.5240 0.2606
Er 0.6913 0.8096 0.7689